1.
! Tb4CdAg2Hg, optimized geometry, DFT PBE-GGA; values from VASP
&SYSTEM
  ibrav = 0, nat = 8, ntyp = 4
/
ATOMIC_SPECIES
Ag 107.87 Ag.upf
Tb 158.93 Tb.upf
Hg 200.59 Hg.upf
Cd 112.41 Cd.upf
CELL_PARAMETERS angstrom
5.2290 0.0000 0.0000
2.6145 4.5285 0.0000
2.6145 1.5095 8.5523
ATOMIC_POSITIONS crystal
Ag 0.2535 0.2535 0.2395
Ag 0.7465 0.7465 0.7605
Tb 0.1261 0.1261 0.6216
Tb 0.3764 0.3764 0.8707
Tb 0.6236 0.6236 0.1293
Tb 0.8739 0.8739 0.3784
Hg 0.5000 0.5000 0.5000
Cd 0.0000 0.0000 0.0000
! Formation energy from the elements in eV/f.u.: -2.8
! Space-group type: No. 166
! Crystal system: trigonal

2.
! KMg2InRh, optimized geometry, DFT PBE-GGA; values from VASP
&SYSTEM
  ibrav = 0, nat = 5, ntyp = 4
/
ATOMIC_SPECIES
Mg 24.30 Mg.upf
K 39.10 K.upf
Rh 102.91 Rh.upf
In 114.82 In.upf
CELL_PARAMETERS angstrom
5.1234 0.0000 0.0000
0.0000 5.1234 0.0000
0.0000 0.0000 5.1991
ATOMIC_POSITIONS crystal
Mg 0.0000 0.5000 0.0000
Mg 0.5000 0.0000 0.0000
K 0.5000 0.5000 0.5000
Rh 0.0000 0.0000 0.0000
In 0.0000 0.0000 0.5000
! Formation energy from the elements in eV/f.u.: -1.2
! Space-group type: No. 123
! Crystal system: tetragonal

3.
! SrErReO6, optimized geometry, DFT PBE-GGA; values from VASP
&SYSTEM
  ibrav = 0, nat = 9, ntyp = 4
/
ATOMIC_SPECIES
O 16.00 O.upf
Re 186.21 Re.upf
Sr 87.62 Sr.upf
Er 167.26 Er.upf
CELL_PARAMETERS angstrom
5.5370 0.0001 -0.0002
2.7686 4.7952 0.0001
0.0002 -0.0005 5.2496
ATOMIC_POSITIONS crystal
O 0.6085 0.3488 0.7065
O 0.3488 0.0427 0.7065
O 0.6085 0.0426 0.2935
O 0.0426 0.3488 0.2935
O 0.3488 0.6085 0.2935
O 0.0426 0.6086 0.7065
Re 0.3333 0.3333 0.5000
Sr 0.0000 0.0000 0.0000
Er 0.6666 0.6667 0.5000
! Space-group type: No. 149
! Crystal system: trigonal
! Raw formation energy in eV per formula unit: -22.57